Below is a geometry-optimized LiDy2Tl structure, with properties calculated at the PBE level.

The space group is P4/mmm (No. 123) and the conventional cell measures 5.032, 5.032 and 4.118 Å, with angles of 90.00, 90.00 and 90.00 degrees. Symmetry generates all atoms from Li at (0.000, 0.000, 0.000), Dy at (0.000, 0.500, 0.500) and Tl at (0.500, 0.500, 0.000).

The formation energy is -71 kJ/mol of formula units. Its spin magnetization is 0.0 μB per cell.

---

Below is a geometry-optimized Li2Dy3Tl3 structure, with properties calculated at the PBE level.

The space group is Immm (No. 71) and the conventional cell measures 4.581, 4.885 and 17.001 Å, with angles of 90.00, 90.00 and 90.00 degrees. Symmetry generates all atoms from Li at (0.000, 0.000, 0.243), Dy at (0.000, 0.000, 0.000), Dy at (0.000, 0.500, 0.139), Tl at (0.000, 0.000, 0.500) and Tl at (0.000, 0.500, 0.349).

The formation energy is -193 kJ/mol of formula units. Its spin magnetization is 0.9 μB per cell.

---

Below is a geometry-optimized LiDyTl2 structure, with properties calculated at the PBE level.

The space group is Fm-3m (No. 225) and the conventional cell measures 7.327, 7.327 and 7.327 Å, with angles of 90.00, 90.00 and 90.00 degrees. Symmetry generates all atoms from Li at (0.000, 0.000, 0.000), Dy at (0.000, 0.000, 0.500) and Tl at (0.250, 0.250, 0.250).

The formation energy is -121 kJ/mol of formula units. Its offset from the most stable computed form is 0 meV/atom. Its spin magnetization is 0.0 μB per cell.

---

Below is a geometry-optimized LiDyTl structure, with properties calculated at the PBE level.

The space group is I4mm (No. 107) and the conventional cell measures 3.669, 3.669 and 10.926 Å, with angles of 90.00, 90.00 and 90.00 degrees. Symmetry generates all atoms from Li at (0.000, 0.000, 0.000), Dy at (0.000, 0.000, 0.307) and Tl at (0.000, 0.000, 0.620).

The formation energy is -38 kJ/mol of formula units. Its offset from the most stable computed form is 141 meV/atom. Its spin magnetization is 0.6 μB per cell.